1.
Entry from Alexandria: an optimized crystal structure of PuFe4Os (PBE).

a b c (Å): 4.908 4.908 4.908
angles (deg): 60.00 60.00 60.00
Fractional coordinates of all 6 atoms:
Os: 0.000 0.000 0.000
Fe: 0.626 0.626 0.121
Fe: 0.626 0.121 0.626
Fe: 0.626 0.626 0.626
Fe: 0.121 0.626 0.626
Pu: 0.250 0.250 0.250

Values from the calculation:
- mass density (g/cm³) = 13.1
- ΔH_f (0 K) (meV per atom) = 115.3
- symmetry = F-43m (216)
- DFT total energy (hartree per atom) = -0.3597
- DOS(E_F) (states/eV/cell) = 13.89

2.
Entry from Alexandria: an optimized crystal structure of PuFeOs (PBE).

a b c (Å): 3.683 4.162 4.162
angles (deg): 120.00 90.00 90.00
Fractional coordinates of all 3 atoms:
Os: 0.192 0.000 0.000
Fe: 0.140 0.333 0.667
Pu: 0.669 0.667 0.333

Values from the calculation:
- mass density (g/cm³) = 14.7
- ΔH_f (0 K) (meV per atom) = 237.9
- symmetry = P3m1 (156)
- DFT total energy (hartree per atom) = -0.4080
- DOS(E_F) (states/eV/cell) = 9.61

3.
Entry from Alexandria: an optimized crystal structure of Pu2FeOs (PBE).

a b c (Å): 3.386 4.744 4.744
angles (deg): 90.00 90.00 90.00
Fractional coordinates of all 4 atoms:
Os: 0.500 0.000 0.000
Fe: 0.500 0.500 0.500
Pu: 0.000 0.000 0.500
Pu: 0.000 0.500 0.000

Values from the calculation:
- mass density (g/cm³) = 16.0
- ΔH_f (0 K) (meV per atom) = 50.0
- symmetry = P4/mmm (123)
- DFT total energy (hartree per atom) = -0.4424
- DOS(E_F) (states/eV/cell) = 10.50

4.
Entry from Alexandria: an optimized crystal structure of PuFe2Os (PBE).

a b c (Å): 4.414 4.414 4.414
angles (deg): 60.00 60.00 60.00
Fractional coordinates of all 4 atoms:
Os: 0.500 0.500 0.500
Fe: 0.250 0.250 0.250
Fe: 0.750 0.750 0.750
Pu: 0.000 0.000 0.000

Values from the calculation:
- distance to the lowest polymorph of the same formula (eV/f.u.) = 0.30
- mass density (g/cm³) = 14.9
- ΔH_f (0 K) (meV per atom) = 171.5
- symmetry = Fm-3m (225)
- DFT total energy (hartree per atom) = -0.3840
- DOS(E_F) (states/eV/cell) = 6.40

5.
Entry from Alexandria: an optimized crystal structure of PuFe2Os (PBE).

a b c (Å): 4.078 3.861 3.861
angles (deg): 90.00 90.00 90.00
Fractional coordinates of all 4 atoms:
Os: 0.500 0.000 0.000
Fe: 0.000 0.000 0.500
Fe: 0.000 0.500 0.000
Pu: 0.500 0.500 0.500

Values from the calculation:
- distance to the lowest polymorph of the same formula (eV/f.u.) = 0.00
- mass density (g/cm³) = 14.9
- ΔH_f (0 K) (meV per atom) = 95.3
- symmetry = P4/mmm (123)
- DFT total energy (hartree per atom) = -0.3868
- DOS(E_F) (states/eV/cell) = 4.85

6.
Entry from Alexandria: an optimized crystal structure of PuFeSi2Os (PBE).

a b c (Å): 4.013 4.013 5.740
angles (deg): 110.46 110.46 90.00
Fractional coordinates of all 5 atoms:
Pu: 0.000 0.000 0.000
Fe: 0.750 0.250 0.500
Si: 0.625 0.625 0.251
Si: 0.375 0.375 0.749
Os: 0.250 0.750 0.500

Values from the calculation:
- mass density (g/cm³) = 11.3
- symmetry = I-4m2 (119)
- formation energy without anion corrections (eV/atom) = -0.52
- DFT total energy (hartree per atom) = -0.3488
- DOS(E_F) (states/eV/cell) = 13.78